[1]
{
  "formula": "LiCa2Cr",
  "functional": "meta-GGA SCAN",
  "state": "PBEsol geometry",
  "cell": [[-1.180, 2.999, 1.205], [-1.375, -0.432, -5.183], [-5.257, -3.071, 2.497]],
  "species": ["Cr", "Ca", "Ca", "Li"],
  "frac_coords": [[0.000, 0.000, 0.500], [0.745, 0.489, 0.738], [0.255, 0.511, 0.262], [0.500, 0.000, 0.000]],
  "total_energy_ev_per_atom": -9.660,
  "volume_a3_per_cell": 114.4,
  "formation_energy_ev_per_atom": 0.365
}


[2]
{
  "formula": "MnZn2Ir",
  "functional": "meta-GGA SCAN",
  "state": "PBEsol geometry",
  "cell": [[-2.268, 1.239, -1.294], [-1.018, -3.842, -1.894], [-1.046, -0.643, 4.445]],
  "species": ["Zn", "Zn", "Ir", "Mn"],
  "frac_coords": [[0.251, 0.253, 0.502], [0.749, 0.747, 0.498], [0.000, 0.500, 0.000], [0.500, 0.000, 0.000]],
  "total_energy_ev_per_atom": -29.416,
  "volume_a3_per_cell": 53.9,
  "formation_energy_ev_per_atom": -0.320
}